Record 1
{
  "formula": "LaMg3Ir",
  "functional": "PBEsol",
  "state": "optimized geometry",
  "lattice_angstrom": [[4.961, 0.000, 0.000], [0.000, 4.961, 0.000], [0.000, 0.000, 4.961]],
  "species": ["La", "Mg", "Mg", "Mg", "Ir"],
  "fractional_positions": [[0.000, 0.000, 0.000], [0.000, 0.500, 0.500], [0.500, 0.000, 0.500], [0.500, 0.500, 0.000], [0.500, 0.500, 0.500]],
  "final_energy_ev_per_cell": -20.8,
  "delta_e_f_ev_per_atom": -0.1013
}

Record 2
{
  "formula": "YPOs2",
  "functional": "PBEsol",
  "state": "optimized geometry",
  "lattice_angstrom": [[-1.874, 1.874, 4.654], [1.874, -1.874, 4.654], [1.874, 1.874, -4.654]],
  "species": ["Y", "P", "Os", "Os"],
  "fractional_positions": [[0.000, 0.000, 0.000], [0.500, 0.500, 0.000], [0.250, 0.750, 0.500], [0.750, 0.250, 0.500]],
  "final_energy_ev_per_cell": -36.2,
  "delta_e_f_ev_per_atom": 0.2041
}

Record 3
{
  "formula": "LiErS2",
  "functional": "PBEsol",
  "state": "optimized geometry",
  "lattice_angstrom": [[-2.665, 2.665, 5.447], [2.665, -2.665, 5.447], [2.665, 2.665, -5.447]],
  "species": ["Li", "Li", "Er", "Er", "S", "S", "S", "S"],
  "fractional_positions": [[0.375, 0.625, 0.750], [0.625, 0.375, 0.250], [0.125, 0.875, 0.250], [0.875, 0.125, 0.750], [0.120, 0.370, 0.750], [0.370, 0.120, 0.250], [0.630, 0.880, 0.750], [0.880, 0.630, 0.250]],
  "final_energy_ev_per_cell": -46.4,
  "raw_formation_energy_ev_per_fu": -7.56
}